VASP calculation (GGA-PBEsol) on a geometry-optimized LaReNi2 structure.

CIF file:
```
data_LaReNi2
_symmetry_space_group_name_H-M 'P 1'
_symmetry_Int_Tables_number 1
_symmetry_space_group_name_Hall 'P 1'
_cell_length_a 4.907
_cell_length_b 4.907
_cell_length_c 4.907
_cell_angle_alpha 132.69
_cell_angle_beta 132.69
_cell_angle_gamma 69.15
loop_
_atom_site_label
_atom_site_type_symbol
_atom_site_fract_x
_atom_site_fract_y
_atom_site_fract_z
La1 La 0.000 0.000 0.000
Re1 Re 0.250 0.750 0.500
Ni1 Ni 0.500 0.500 0.000
Ni2 Ni 0.750 0.250 0.500
```

## Properties
V ... 62.7 Å³/cell
VASP energy ... -28.9 eV per cell
DOS at the Fermi energy ... 5.8 states/eV per cell
Size of the total moment ... 0.3932 μB/atom
Energy relative to the elements ... 0.5303 eV/atom